[1]
Density functional theory data (GGA-PBE) for a relaxed MgH2O crystal.

```
MgH2O
1.0
4.9956 0.0000 0.0000
0.0000 3.1414 0.0000
-1.9345 0.0000 4.9557
Mg H O
2 4 2
Direct
0.0185 0.2500 0.2507 Mg
0.9815 0.7500 0.7493 Mg
0.1986 0.2500 0.6507 H
0.4401 0.7500 0.2230 H
0.5599 0.2500 0.7770 H
0.8014 0.7500 0.3493 H
0.2286 0.7500 0.1568 O
0.7714 0.2500 0.8432 O
```

Space group: P2_1/m
E above lowest polymorph in meV per atom: 0
DOS at the Fermi energy in states/eV/cell: 0.000

***

[2]
Density functional theory data (GGA-PBE) for a relaxed LiY2HIr crystal.

```
LiY2HIr
1.0
4.8791 0.0000 0.0000
0.0000 4.8791 0.0000
0.0000 0.0000 3.5650
Li Y H Ir
1 2 1 1
Direct
0.0000 0.0000 0.0000 Li
0.0000 0.5000 0.5000 Y
0.5000 0.0000 0.5000 Y
0.0000 0.0000 0.5000 H
0.5000 0.5000 0.0000 Ir
```

Space group: P4/mmm
E above lowest polymorph in meV per atom: 0
DOS at the Fermi energy in states/eV/cell: 1.302

***

[3]
Density functional theory data (GGA-PBE) for a relaxed ZnSiP crystal.

```
ZnSiP
1.0
3.4398 -2.0098 0.0000
3.4398 2.0098 0.0000
-1.2407 0.0000 8.4608
Zn Si P
2 2 2
Direct
0.0000 0.0000 0.0000 Zn
0.5478 0.5478 0.2776 Zn
0.3109 0.3109 0.6829 Si
0.9609 0.9609 0.5926 Si
0.3267 0.3267 0.9535 P
0.8909 0.8909 0.3240 P
```

Space group: Cm
E above lowest polymorph in meV per atom: 21
DOS at the Fermi energy in states/eV/cell: 0.371
E_form (uncorrected) in kJ/mol of formula units: -33